1.
First-principles (GGA-PBE) data for Rb6H2ICl3 after structural relaxation, as listed in Alexandria via LeMat-Bulk. Values from VASP.

The structure in Quantum ESPRESSO input format:
```
&SYSTEM
  ibrav = 0, nat = 12, ntyp = 4
/
ATOMIC_SPECIES
Rb 85.47 Rb.upf
H 1.01 H.upf
I 126.90 I.upf
Cl 35.45 Cl.upf
CELL_PARAMETERS angstrom
10.318 -2.368 0.000
10.318 2.368 0.000
-2.202 0.000 9.293
ATOMIC_POSITIONS crystal
Rb 0.006 0.006 0.276
Rb 0.325 0.325 0.901
Rb 0.327 0.327 0.426
Rb 0.673 0.673 0.574
Rb 0.675 0.675 0.099
Rb 0.994 0.994 0.724
H 0.173 0.173 0.345
H 0.827 0.827 0.655
I 0.500 0.500 0.000
Cl 0.165 0.165 0.828
Cl 0.500 0.500 0.500
Cl 0.835 0.835 0.172
```

Summary:
Mass density = 2.7 g/cm³
Total magnetic moment = 0.1 μB per cell
E = -2.8746 eV per atom

***

2.
First-principles (GGA-PBE) data for Rb8HI4Cl3 after structural relaxation, as listed in Alexandria via LeMat-Bulk. Values from VASP.

The structure in Quantum ESPRESSO input format:
```
&SYSTEM
  ibrav = 0, nat = 16, ntyp = 4
/
ATOMIC_SPECIES
Rb 85.47 Rb.upf
H 1.01 H.upf
I 126.90 I.upf
Cl 35.45 Cl.upf
CELL_PARAMETERS angstrom
4.953 2.860 8.213
-4.953 2.860 8.213
0.000 -5.720 8.213
ATOMIC_POSITIONS crystal
Rb 0.241 0.241 0.241
Rb 0.246 0.737 0.737
Rb 0.263 0.263 0.754
Rb 0.263 0.754 0.263
Rb 0.737 0.246 0.737
Rb 0.737 0.737 0.246
Rb 0.754 0.263 0.263
Rb 0.759 0.759 0.759
H 0.500 0.500 0.500
I 0.000 0.000 0.000
I 0.000 0.500 0.500
I 0.500 0.000 0.500
I 0.500 0.500 0.000
Cl 0.000 0.000 0.500
Cl 0.000 0.500 0.000
Cl 0.500 0.000 0.000
```

Summary:
Mass density = 3.1 g/cm³
Total magnetic moment = 0.1 μB per cell
E = -2.9018 eV per atom

***

3.
First-principles (GGA-PBE) data for Rb4HICl2 after structural relaxation, as listed in Alexandria via LeMat-Bulk. Values from VASP.

The structure in Quantum ESPRESSO input format:
```
&SYSTEM
  ibrav = 0, nat = 16, ntyp = 4
/
ATOMIC_SPECIES
Rb 85.47 Rb.upf
H 1.01 H.upf
I 126.90 I.upf
Cl 35.45 Cl.upf
CELL_PARAMETERS angstrom
6.842 -6.837 0.000
6.842 6.837 0.000
-6.815 0.000 6.845
ATOMIC_POSITIONS crystal
Rb 0.223 0.239 0.481
Rb 0.239 0.223 0.981
Rb 0.240 0.758 0.504
Rb 0.242 0.760 0.996
Rb 0.758 0.240 0.004
Rb 0.760 0.242 0.496
Rb 0.761 0.777 0.019
Rb 0.777 0.761 0.519
H 0.000 0.500 0.500
H 0.500 0.000 0.000
I 0.500 0.500 0.000
I 0.500 0.500 0.500
Cl 0.000 0.000 0.000
Cl 0.000 0.000 0.500
Cl 0.000 0.500 0.000
Cl 0.500 0.000 0.500
```

Summary:
Mass density = 2.8 g/cm³
Total magnetic moment = 0.1 μB per cell
E = -2.9043 eV per atom